(1)
Computed, not measured: Cs2TaBeCl6 after structural relaxation at the GGA-PBE level of DFT.

Cell and atoms, written as POSCAR:
```
Cs2TaBeCl6
1.0
-1.250 4.693 6.209
2.757 -5.614 4.798
5.902 1.614 4.972
Cs Ta Cl Be
2 1 6 1
Cartesian
4.706 -2.230 7.637
2.703 2.923 8.342
0.000 0.000 0.000
1.883 -3.366 5.106
-0.376 2.446 5.901
1.179 -0.720 8.607
3.657 0.709 5.204
3.752 -0.016 10.775
0.329 -0.201 2.400
0.754 -0.460 5.503
```

Summary:
The space group is Fm-3m, No. 225. Its raw formation energy is -1.1056 eV per atom. The total moment is 1.00 μB per cell. For the total energy, the calculation gives -3.9422 eV per atom.

=====

(2)
Computed, not measured: Cs2TiBeCl6 after structural relaxation at the GGA-PBE level of DFT.

Cell and atoms, written as POSCAR:
```
Cs2TiBeCl6
1.0
6.883 0.000 0.000
0.000 6.883 0.000
3.441 3.441 5.650
Cl Ti Cs Be
6 1 2 1
Cartesian
6.883 6.883 2.464
1.895 4.988 0.000
1.895 1.895 0.000
4.988 4.988 0.000
4.988 1.895 0.000
3.441 3.441 3.186
0.000 0.000 0.000
6.883 3.441 2.825
3.441 6.883 2.825
3.441 3.441 0.000
```

Summary:
The space group is I4/mmm, No. 139. Its raw formation energy is -1.4672 eV per atom. The total moment is 2.00 μB per cell. For the total energy, the calculation gives -3.9080 eV per atom.

=====

(3)
Computed, not measured: Cs2BeTlCl6 after structural relaxation at the GGA-PBE level of DFT.

Cell and atoms, written as POSCAR:
```
Cs2BeTlCl6
1.0
-0.311 -7.278 -0.296
3.737 0.094 -6.259
6.335 -3.901 -0.522
Be Cs Cl Tl
1 2 6 1
Cartesian
1.713 -3.592 -3.277
5.893 -3.699 -5.029
3.868 -7.385 -2.047
0.835 -5.190 -1.984
5.809 -7.343 -5.134
2.456 -5.149 -4.698
0.970 -2.034 -1.856
2.591 -1.993 -4.570
3.952 -3.742 -1.942
0.000 0.000 0.000
```

Summary:
The space group is I4/mmm, No. 139. Its raw formation energy is -1.3294 eV per atom. The total moment is 0.00 μB per cell. For the total energy, the calculation gives -3.2173 eV per atom.

=====

(4)
Computed, not measured: CsBeTlCl6 after structural relaxation at the GGA-PBE level of DFT.

Cell and atoms, written as POSCAR:
```
CsBeTlCl6
1.0
6.493 -0.001 0.000
3.246 5.623 0.001
0.000 0.001 7.832
Cl Tl Cs Be
6 1 1 1
Cartesian
5.463 2.203 5.302
4.639 3.629 2.531
8.346 3.630 5.302
5.669 5.413 5.302
7.522 2.203 2.531
7.316 5.412 2.531
3.246 1.874 3.917
6.493 0.000 7.832
6.494 3.749 3.916
```

Summary:
The space group is P312, No. 149. Its raw formation energy is -1.1226 eV per atom. The total moment is 0.00 μB per cell. For the total energy, the calculation gives -3.1254 eV per atom.

=====

(5)
Computed, not measured: CsBe2TlCl6 after structural relaxation at the GGA-PBE level of DFT.

Cell and atoms, written as POSCAR:
```
CsBe2TlCl6
1.0
-1.115 -2.041 8.593
-3.249 -7.461 -3.609
9.490 -0.622 -1.383
Cl Tl Cs Be
12 2 2 4
Cartesian
-0.951 -4.979 6.326
2.457 -1.978 4.397
0.352 -7.908 3.534
-1.641 -6.285 1.433
5.074 -8.279 2.707
1.553 -4.719 0.179
6.767 -3.839 2.168
4.774 -2.216 0.066
2.670 -8.146 -0.797
0.053 -1.845 0.894
3.573 -5.405 3.422
6.077 -5.145 -2.726
4.745 -5.701 0.366
0.381 -4.423 3.234
-0.556 -6.803 -2.123
5.682 -3.321 5.723
-0.732 -7.912 1.946
0.630 -3.128 -0.417
4.496 -6.996 4.017
5.858 -2.212 1.654
```

Summary:
The space group is C2/c, No. 15. Its raw formation energy is -1.4773 eV per atom. The total moment is 0.00 μB per cell. For the total energy, the calculation gives -3.6525 eV per atom.

=====

(6)
Computed, not measured: CsUBe2Cl8 after structural relaxation at the GGA-PBE level of DFT.

Cell and atoms, written as POSCAR:
```
CsUBe2Cl8
1.0
6.331 0.000 0.000
3.165 5.483 0.000
3.165 1.828 10.360
Cl U Be Cs
8 1 2 1
Cartesian
5.384 5.618 1.669
7.557 5.456 8.691
5.105 1.854 1.669
7.277 1.693 8.691
9.496 5.483 6.009
8.504 3.494 1.669
3.165 1.828 4.350
4.158 3.817 8.691
0.000 0.000 0.000
3.165 1.828 2.400
9.496 5.483 7.960
6.331 3.655 5.180
```

Summary:
The space group is R-3, No. 148. Its raw formation energy is -1.6053 eV per atom. The total moment is 3.00 μB per cell. For the total energy, the calculation gives -4.4693 eV per atom.

=====

(7)
Computed, not measured: CsBeWCl2 after structural relaxation at the GGA-PBE level of DFT.

Cell and atoms, written as POSCAR:
```
CsBeWCl2
1.0
5.223 0.000 0.000
0.000 4.879 0.000
0.000 0.000 5.223
Cl Be Cs W
2 1 1 1
Cartesian
2.611 0.000 0.000
0.000 0.000 2.611
0.000 0.000 0.000
2.611 2.440 2.611
0.000 2.440 0.000
```

Summary:
The space group is P4/mmm, No. 123. Its raw formation energy is 0.5449 eV per atom. The total moment is 4.91 μB per cell. For the total energy, the calculation gives -3.7004 eV per atom.

=====

(8)
Computed, not measured: Cs2ZrBeCl6 after structural relaxation at the GGA-PBE level of DFT.

Cell and atoms, written as POSCAR:
```
Cs2ZrBeCl6
1.0
-5.347 4.290 1.043
-1.973 -0.857 -6.592
-6.913 -2.714 -1.226
Cl Cs Be Zr
6 2 1 1
Cartesian
-5.292 2.482 -4.012
-8.810 1.404 -4.840
-5.423 -0.684 -1.935
-4.412 2.864 -1.072
-2.028 0.951 -1.537
-2.907 0.569 -4.477
-7.960 1.646 -1.479
-6.273 -0.927 -5.296
-3.660 1.717 -2.775
0.000 0.000 0.000
```

Summary:
The space group is I4/mmm, No. 139. Its raw formation energy is -1.4213 eV per atom. The total moment is 2.00 μB per cell. For the total energy, the calculation gives -3.9274 eV per atom.

=====

(9)
Computed, not measured: BeCu2Cl6 after structural relaxation at the GGA-PBE level of DFT.

Cell and atoms, written as POSCAR:
```
BeCu2Cl6
1.0
-3.450 4.203 -2.759
-7.839 2.313 4.908
3.430 8.860 0.789
Cl Cu Be
12 4 2
Cartesian
-4.707 8.411 3.232
-6.290 2.239 3.569
0.542 9.311 -0.939
-1.569 13.137 -0.632
-6.500 5.778 1.348
-8.400 6.065 3.876
-2.789 4.072 1.583
-8.027 8.828 2.016
-3.152 6.965 -0.295
0.169 6.548 0.921
-1.359 9.598 1.589
-5.070 11.304 1.354
-1.655 5.380 0.097
-6.204 9.996 2.840
-5.332 6.348 -0.570
-2.527 9.028 3.507
0.252 8.566 0.945
-8.111 6.811 1.992
```

Summary:
The space group is C2/c, No. 15. Its raw formation energy is -0.7445 eV per atom. The total moment is 3.51 μB per cell. For the total energy, the calculation gives -3.2998 eV per atom.

=====

(10)
Computed, not measured: Be2CuCl after structural relaxation at the GGA-PBE level of DFT.

Cell and atoms, written as POSCAR:
```
Be2CuCl
1.0
2.955 -0.084 0.000
-1.511 2.542 0.000
0.000 0.000 7.172
Cl Be Cu
1 2 1
Cartesian
0.722 1.229 1.793
0.000 0.000 3.626
0.000 0.000 7.133
0.722 1.229 5.379
```

Summary:
The space group is Cmmm, No. 65. Its raw formation energy is 0.3790 eV per atom. For the energy above the most stable polymorph in this dataset, the calculation gives 347.1 meV per atom. The total moment is 0.00 μB per cell. For the total energy, the calculation gives -2.9698 eV per atom.

=====

(11)
Computed, not measured: BeCu2Cl after structural relaxation at the GGA-PBE level of DFT.

Cell and atoms, written as POSCAR:
```
BeCu2Cl
1.0
-1.947 -3.313 4.093
0.649 -5.521 0.791
2.612 4.829 -1.175
Cl Cu Be
1 2 1
Cartesian
0.008 -1.450 2.680
0.000 0.000 0.000
-0.649 -4.417 2.442
1.306 -2.554 1.029
```

Summary:
The space group is I4/mmm, No. 139. Its raw formation energy is 0.4736 eV per atom. For the energy above the most stable polymorph in this dataset, the calculation gives 506.6 meV per atom. The total moment is 0.00 μB per cell. For the total energy, the calculation gives -2.9677 eV per atom.

=====

(12)
Computed, not measured: BeCu2Cl after structural relaxation at the GGA-PBE level of DFT.

Cell and atoms, written as POSCAR:
```
BeCu2Cl
1.0
0.000 3.068 3.068
3.068 0.000 3.068
3.068 3.068 0.000
Cu Cl Be
2 1 1
Cartesian
4.602 4.602 4.602
1.534 1.534 1.534
3.068 3.068 3.068
0.000 0.000 0.000
```

Summary:
The space group is Fm-3m, No. 225. Its raw formation energy is 0.7506 eV per atom. For the energy above the most stable polymorph in this dataset, the calculation gives 783.6 meV per atom. The total moment is 0.00 μB per cell. For the total energy, the calculation gives -2.6907 eV per atom.